Density functional theory data (PBE) for Pr4SiPtCl2 after structural relaxation.

Structure (extended XYZ):
```
8
Lattice="7.361 0.000 0.000 0.000 4.183 0.000 -2.415 0.000 7.222" Properties=species:S:1:pos:R:3 pbc="T T T"
Pr 1.050 0.000 1.694
Pr -0.086 2.092 5.350
Pr 5.032 2.092 1.872
Pr 3.896 0.000 5.528
Si -1.207 0.000 3.611
Pt 0.000 2.092 0.000
Cl 3.681 0.000 0.000
Cl 2.473 2.092 3.611
```

Properties
- SG = P2/m, No. 10
- E_form (uncorrected) (meV/atom) = -1217
- E_tot (eV per atom) = -5.501